# Rb2UTlO6, relaxed, DFT PBE-GGA
# Uncorrected formation energy = -185.15 kJ per mole of atoms
data_Rb2UTlO6
_chemical_formula_sum 'Rb2 U1 Tl1 O6'
_cell_length_a 6.167
_cell_length_b 6.166
_cell_length_c 6.162
_cell_angle_alpha 59.98
_cell_angle_beta 59.97
_cell_angle_gamma 89.98
_symmetry_space_group_name_H-M 'P 1'
_symmetry_Int_Tables_number 1
loop_
_symmetry_equiv_pos_as_xyz
'x,y,z'
loop_
_atom_site_label
_atom_site_type_symbol
_atom_site_fract_x
_atom_site_fract_y
_atom_site_fract_z
_atom_site_occupancy
U1 U 0.500 0.500 0.000 1
Rb1 Rb 0.250 0.750 0.500 1
Rb2 Rb 0.750 0.250 0.500 1
O1 O 0.736 0.736 0.000 1
O2 O 0.264 0.736 0.000 1
O3 O 0.263 0.263 0.473 1
O4 O 0.737 0.737 0.527 1
Tl1 Tl 0.000 0.000 0.000 1
O5 O 0.736 0.264 0.000 1
O6 O 0.264 0.264 0.000 1



# Rb2U2TlO7, relaxed, DFT PBE-GGA
# Uncorrected formation energy = -249.01 kJ per mole of atoms
data_Rb2U2TlO7
_chemical_formula_sum 'Rb2 U2 Tl1 O7'
_cell_length_a 4.364
_cell_length_b 4.364
_cell_length_c 11.900
_cell_angle_alpha 79.43
_cell_angle_beta 79.43
_cell_angle_gamma 90.00
_symmetry_space_group_name_H-M 'P 1'
_symmetry_Int_Tables_number 1
loop_
_symmetry_equiv_pos_as_xyz
'x,y,z'
loop_
_atom_site_label
_atom_site_type_symbol
_atom_site_fract_x
_atom_site_fract_y
_atom_site_fract_z
_atom_site_occupancy
O1 O 0.405 0.905 0.190 1
Rb1 Rb 0.191 0.191 0.617 1
O2 O 0.595 0.095 0.810 1
O3 O 0.320 0.320 0.360 1
Rb2 Rb 0.809 0.809 0.383 1
O4 O 0.680 0.680 0.640 1
Tl1 Tl 0.000 0.000 0.000 1
U1 U 0.406 0.406 0.189 1
O5 O 0.095 0.595 0.810 1
O6 O 0.905 0.405 0.190 1
O7 O 0.500 0.500 0.000 1
U2 U 0.594 0.594 0.811 1



# Rb3U2TlO9, relaxed, DFT PBE-GGA
# Uncorrected formation energy = -228.39 kJ per mole of atoms
data_Rb3U2TlO9
_chemical_formula_sum 'Rb3 U2 Tl1 O9'
_cell_length_a 6.160
_cell_length_b 6.160
_cell_length_c 7.564
_cell_angle_alpha 90.00
_cell_angle_beta 90.00
_cell_angle_gamma 120.00
_symmetry_space_group_name_H-M 'P 1'
_symmetry_Int_Tables_number 1
loop_
_symmetry_equiv_pos_as_xyz
'x,y,z'
loop_
_atom_site_label
_atom_site_type_symbol
_atom_site_fract_x
_atom_site_fract_y
_atom_site_fract_z
_atom_site_occupancy
U1 U 0.667 0.333 0.834 1
Rb1 Rb 0.000 0.000 0.000 1
O1 O 0.000 0.500 0.000 1
O2 O 0.500 0.500 0.000 1
Rb2 Rb 0.667 0.333 0.342 1
O3 O 0.176 0.352 0.319 1
O4 O 0.352 0.176 0.681 1
O5 O 0.648 0.824 0.319 1
O6 O 0.824 0.648 0.681 1
O7 O 0.176 0.824 0.319 1
Rb3 Rb 0.333 0.667 0.658 1
O8 O 0.500 0.000 0.000 1
O9 O 0.824 0.176 0.681 1
U2 U 0.333 0.667 0.166 1
Tl1 Tl 0.000 0.000 0.500 1



V readings, ordered: 165.6 218.9 248.6 Å³ per cell
Total energy readings, ordered: -6.45 -7.71 -7.20 eV per atom